Model 1:
5
Lattice="-1.8276 -2.9022 -3.5773 4.2264 0.4742 -2.5440 1.8321 -3.9890 2.3002" Properties=species:S:1:pos:R:3 comment="PBE NiBi3B, relaxed" dos_at_fermi_per_ev_atom=0.82 m_tot_mub_per_fu=0.00 pbc="T T T"
Bi 0.9161 -1.9945 1.1501
Bi -0.9138 -1.4511 -1.7886
Bi 2.1132 0.2371 -1.2720
Ni 2.1155 -3.2085 -1.9106
B 0.0000 0.0000 0.0000

---

Model 2:
5
Lattice="-3.8901 3.1301 1.1817 -2.0697 -3.6752 2.9216 2.6287 1.7384 4.0490" Properties=species:S:1:pos:R:3 comment="PBE NiBi3B, relaxed" dos_at_fermi_per_ev_atom=0.90 m_tot_mub_per_fu=0.00 pbc="T T T"
Ni 0.0000 0.0000 0.0000
Bi -1.9451 1.5650 0.5908
Bi 1.3143 0.8692 2.0245
Bi -1.0349 -1.8376 1.4608
B -1.6656 0.5966 4.0761

---

Which structure loses on stability? model 2 does.